Record 1
# PBE RbTcBi2Au, relaxed
# DOS at the Fermi energy	0.910	states/eV/atom
# E	-2.30	eV per atom
data_RbTcBi2Au
_cell_length_a 6.0374
_cell_length_b 6.0374
_cell_length_c 5.0953
_cell_angle_alpha 90.00
_cell_angle_beta 90.00
_cell_angle_gamma 90.00
_space_group_name_H-M_alt 'P 1'
_space_group_IT_number 1
loop_
_space_group_symop_operation_xyz
'x,y,z'
loop_
_atom_site_label
_atom_site_type_symbol
_atom_site_fract_x
_atom_site_fract_y
_atom_site_fract_z
_atom_site_occupancy
Rb1 Rb 0.0000 0.0000 0.0000 1
Tc1 Tc 0.0000 0.0000 0.5000 1
Bi1 Bi 0.0000 0.5000 0.0000 1
Bi2 Bi 0.5000 0.0000 0.0000 1
Au1 Au 0.5000 0.5000 0.5000 1

Record 2
# PBE RbBi2TeAu, relaxed
# DOS at the Fermi energy	0.982	states/eV/atom
# formation energy without anion corrections	1262	meV per atom
data_RbBi2TeAu
_cell_length_a 6.2177
_cell_length_b 6.2177
_cell_length_c 5.5557
_cell_angle_alpha 90.00
_cell_angle_beta 90.00
_cell_angle_gamma 90.00
_space_group_name_H-M_alt 'P 1'
_space_group_IT_number 1
loop_
_space_group_symop_operation_xyz
'x,y,z'
loop_
_atom_site_label
_atom_site_type_symbol
_atom_site_fract_x
_atom_site_fract_y
_atom_site_fract_z
_atom_site_occupancy
Rb1 Rb 0.0000 0.0000 0.0000 1
Bi1 Bi 0.0000 0.5000 0.0000 1
Bi2 Bi 0.5000 0.0000 0.0000 1
Te1 Te 0.5000 0.5000 0.5000 1
Au1 Au 0.0000 0.0000 0.5000 1

Record 3
# PBE RbBiTe2Au, relaxed
# DOS at the Fermi energy	0.179	states/eV/atom
# polymorph energy (0 for the lowest one)	0	meV/atom
# formation energy without anion corrections	-327	meV per atom
data_RbBiTe2Au
_cell_length_a 8.8152
_cell_length_b 8.8152
_cell_length_c 6.5314
_cell_angle_alpha 90.00
_cell_angle_beta 90.00
_cell_angle_gamma 135.56
_space_group_name_H-M_alt 'P 1'
_space_group_IT_number 1
loop_
_space_group_symop_operation_xyz
'x,y,z'
loop_
_atom_site_label
_atom_site_type_symbol
_atom_site_fract_x
_atom_site_fract_y
_atom_site_fract_z
_atom_site_occupancy
Rb1 Rb 0.2500 0.7500 0.7631 1
Rb2 Rb 0.7500 0.2500 0.2369 1
Bi1 Bi 0.2500 0.2500 0.0000 1
Bi2 Bi 0.7500 0.7500 0.0000 1
Te1 Te 0.1340 0.8660 0.2707 1
Te2 Te 0.3660 0.6340 0.2707 1
Te3 Te 0.6340 0.3660 0.7293 1
Te4 Te 0.8660 0.1340 0.7293 1
Au1 Au 0.0000 0.0000 0.5000 1
Au2 Au 0.5000 0.5000 0.5000 1

Record 4
# PBE RbBiTe3Au, relaxed
# DOS at the Fermi energy	0.871	states/eV/atom
# formation energy without anion corrections	-370	meV per atom
data_RbBiTe3Au
_cell_length_a 10.1319
_cell_length_b 4.5005
_cell_length_c 10.4715
_cell_angle_alpha 90.00
_cell_angle_beta 108.07
_cell_angle_gamma 90.00
_space_group_name_H-M_alt 'P 1'
_space_group_IT_number 1
loop_
_space_group_symop_operation_xyz
'x,y,z'
loop_
_atom_site_label
_atom_site_type_symbol
_atom_site_fract_x
_atom_site_fract_y
_atom_site_fract_z
_atom_site_occupancy
Rb1 Rb 0.1993 0.2500 0.2432 1
Rb2 Rb 0.8007 0.7500 0.7568 1
Bi1 Bi 0.3302 0.7500 0.8704 1
Bi2 Bi 0.6698 0.2500 0.1296 1
Te1 Te 0.1114 0.2500 0.8625 1
Te2 Te 0.2212 0.7500 0.5453 1
Te3 Te 0.4668 0.7500 0.1742 1
Te4 Te 0.5332 0.2500 0.8258 1
Te5 Te 0.7788 0.2500 0.4547 1
Te6 Te 0.8886 0.7500 0.1375 1
Au1 Au 0.0730 0.2500 0.5803 1
Au2 Au 0.9270 0.7500 0.4197 1